# 1
# AlFePt | Alexandria via LeMat-Bulk | meta-GGA SCAN | PBEsol geometry
data_AlFePt
_symmetry_space_group_name_H-M 'F -4 3 m'
_symmetry_Int_Tables_number 216
_symmetry_space_group_name_Hall 'F -4 2 3'
_cell_length_a 5.672
_cell_length_b 5.672
_cell_length_c 5.672
_cell_angle_alpha 90.00
_cell_angle_beta 90.00
_cell_angle_gamma 90.00
loop_
_atom_site_label
_atom_site_fract_x
_atom_site_fract_y
_atom_site_fract_z
Al1 0.000 0.000 0.000
Fe1 0.250 0.250 0.750
Pt1 0.000 0.000 0.500
# Energy of formation from the pure elements in meV per atom: -330.6


# 2
# Ca2MgCr | Alexandria via LeMat-Bulk | meta-GGA SCAN | PBEsol geometry
data_Ca2MgCr
_symmetry_space_group_name_H-M 'P 1 m 1'
_symmetry_Int_Tables_number 6
_symmetry_space_group_name_Hall 'P -2y'
_cell_length_a 3.750
_cell_length_b 5.032
_cell_length_c 6.466
_cell_angle_alpha 90.00
_cell_angle_beta 106.76
_cell_angle_gamma 90.00
loop_
_atom_site_label
_atom_site_fract_x
_atom_site_fract_y
_atom_site_fract_z
Ca1 0.000 0.000 0.000
Ca2 0.313 0.500 0.629
Mg1 0.719 0.000 0.439
Cr1 0.593 0.500 0.184
# Energy of formation from the pure elements in meV per atom: 176.4


# 3
# Li2FeAs2 | Alexandria via LeMat-Bulk | meta-GGA SCAN | PBEsol geometry
data_Li2FeAs2
_symmetry_space_group_name_H-M 'P 4/m b m'
_symmetry_Int_Tables_number 127
_symmetry_space_group_name_Hall '-P 4 2ab'
_cell_length_a 6.020
_cell_length_b 6.020
_cell_length_c 4.090
_cell_angle_alpha 90.00
_cell_angle_beta 90.00
_cell_angle_gamma 90.00
loop_
_atom_site_label
_atom_site_fract_x
_atom_site_fract_y
_atom_site_fract_z
Li1 0.169 0.331 0.000
Fe1 0.000 0.000 0.500
As1 0.147 0.647 0.500
# Energy of formation from the pure elements in meV per atom: -454.4


# 4
# La2InGaPb | Alexandria via LeMat-Bulk | meta-GGA SCAN | PBEsol geometry
data_La2InGaPb
_symmetry_space_group_name_H-M 'P 4/m m m'
_symmetry_Int_Tables_number 123
_symmetry_space_group_name_Hall '-P 4 2'
_cell_length_a 6.052
_cell_length_b 6.052
_cell_length_c 5.031
_cell_angle_alpha 90.00
_cell_angle_beta 90.00
_cell_angle_gamma 90.00
loop_
_atom_site_label
_atom_site_fract_x
_atom_site_fract_y
_atom_site_fract_z
La1 0.000 0.500 0.000
In1 0.000 0.000 0.500
Ga1 0.500 0.500 0.500
Pb1 0.500 0.500 0.000
# Energy of formation from the pure elements in meV per atom: 36.8


# 5
# Li6PS5I | Alexandria via LeMat-Bulk | meta-GGA SCAN | PBEsol geometry
data_Li6PS5I
_symmetry_space_group_name_H-M 'F -4 3 m'
_symmetry_Int_Tables_number 216
_symmetry_space_group_name_Hall 'F -4 2 3'
_cell_length_a 10.194
_cell_length_b 10.194
_cell_length_c 10.194
_cell_angle_alpha 90.00
_cell_angle_beta 90.00
_cell_angle_gamma 90.00
loop_
_atom_site_label
_atom_site_fract_x
_atom_site_fract_y
_atom_site_fract_z
Li1 0.000 0.000 0.226
P1 0.250 0.250 0.750
S1 0.000 0.000 0.000
S2 0.134 0.134 0.634
I1 0.250 0.250 0.250
# Raw formation energy in eV/atom: -1.208
# Distance to the lowest polymorph of the same formula in meV/atom: 22


# 6
# BaNd2PtO5 | Alexandria via LeMat-Bulk | meta-GGA SCAN | PBEsol geometry
data_BaNd2PtO5
_symmetry_space_group_name_H-M 'P 4/m b m'
_symmetry_Int_Tables_number 127
_symmetry_space_group_name_Hall '-P 4 2ab'
_cell_length_a 6.734
_cell_length_b 6.734
_cell_length_c 5.895
_cell_angle_alpha 90.00
_cell_angle_beta 90.00
_cell_angle_gamma 90.00
loop_
_atom_site_label
_atom_site_fract_x
_atom_site_fract_y
_atom_site_fract_z
Ba1 0.000 0.000 0.000
Nd1 0.173 0.327 0.500
Pt1 0.000 0.500 0.000
O1 0.000 0.000 0.500
O2 0.140 0.640 0.253
# Raw formation energy in eV/atom: -2.906


# 7
# LaMgAs2 | Alexandria via LeMat-Bulk | meta-GGA SCAN | PBEsol geometry
data_LaMgAs2
_symmetry_space_group_name_H-M 'C m m m'
_symmetry_Int_Tables_number 65
_symmetry_space_group_name_Hall '-C 2 2'
_cell_length_a 4.442
_cell_length_b 5.734
_cell_length_c 7.245
_cell_angle_alpha 90.00
_cell_angle_beta 90.00
_cell_angle_gamma 90.00
loop_
_atom_site_label
_atom_site_fract_x
_atom_site_fract_y
_atom_site_fract_z
La1 0.000 0.000 0.000
Mg1 0.000 0.000 0.500
As1 0.000 0.500 0.268
# Energy of formation from the pure elements in meV per atom: -792.2


# 8
# Ca2CoAs | Alexandria via LeMat-Bulk | meta-GGA SCAN | PBEsol geometry
data_Ca2CoAs
_symmetry_space_group_name_H-M 'P m m m'
_symmetry_Int_Tables_number 47
_symmetry_space_group_name_Hall '-P 2 2'
_cell_length_a 3.291
_cell_length_b 3.793
_cell_length_c 6.734
_cell_angle_alpha 90.00
_cell_angle_beta 90.00
_cell_angle_gamma 90.00
loop_
_atom_site_label
_atom_site_fract_x
_atom_site_fract_y
_atom_site_fract_z
Ca1 0.000 0.000 0.248
Co1 0.500 0.500 0.500
As1 0.500 0.500 0.000
# Energy of formation from the pure elements in meV per atom: -373.0


| no. | V (Å³ per cell) | spin magnetization (μB/cell) |
| --- | --- | --- |
| 1 | 182.5 | 11.58 |
| 2 | 116.8 | 4.91 |
| 3 | 148.2 | 3.77 |
| 4 | 184.3 | 0.00 |
| 5 | 1059.4 | 0.00 |
| 6 | 267.3 | 0.00 |
| 7 | 184.5 | 0.00 |
| 8 | 84.1 | 1.71 |